Computed, not measured: Pr4Sm3Tm4 after structural relaxation at the PBE level of DFT.

The value obtained for the formation energy is 2.0 kJ/mol of atoms. The energy above the lowest structure with this stoichiometry comes out at 0.0000 eV/atom. The energy comes out at -4.63 eV per atom.

The structure belongs to space group Immm (No. 71); the cell edges are 3.622, 5.083 and 39.659 Å and the angles 90.00°, 90.00° and 90.00°. The distinct sites, in fractional coordinates, are Pr at (0.000, 0.000, 0.046), Pr at (0.000, 0.000, 0.317), Sm at (0.000, 0.000, 0.137), Sm at (0.000, 0.000, 0.500), Tm at (0.000, 0.000, 0.228) and Tm at (0.000, 0.000, 0.408).

=====

Computed, not measured: Dy2Zn5Hg after structural relaxation at the PBE level of DFT.

The value obtained for the formation energy is -32.0 kJ/mol of atoms. The energy comes out at -2.32 eV per atom.

The structure belongs to space group Cmcm (No. 63); the cell edges are 4.303, 16.244 and 9.048 Å and the angles 90.00°, 90.00° and 90.00°. The distinct sites, in fractional coordinates, are Dy at (0.000, 0.000, 0.000), Dy at (0.000, 0.200, 0.250), Zn at (0.000, 0.187, 0.609), Zn at (0.000, 0.346, 0.520), Zn at (0.000, 0.391, 0.250) and Hg at (0.000, 0.449, 0.750).

=====

Computed, not measured: Y2Si2Mo after structural relaxation at the PBE level of DFT.

Its energy relative to the elements, uncorrected is 353 meV per atom. The energy above the lowest structure with this stoichiometry comes out at 0.9202 eV/atom. The energy comes out at -6.57 eV per atom.

The structure belongs to space group P4/mbm (No. 127); the cell edges are 8.175, 8.175 and 3.164 Å and the angles 90.00°, 90.00° and 90.00°. The distinct sites, in fractional coordinates, are Y at (0.134, 0.366, 0.000), Si at (0.171, 0.671, 0.500) and Mo at (0.000, 0.000, 0.000).

=====

Computed, not measured: Ba8Br after structural relaxation at the PBE level of DFT.

Its energy relative to the elements, uncorrected is -220 meV per atom. The energy comes out at -2.12 eV per atom.

The structure belongs to space group I4/mmm (No. 139); the cell edges are 15.070, 15.070 and 4.606 Å and the angles 90.00°, 90.00° and 90.00°. The distinct sites, in fractional coordinates, are Ba at (0.000, 0.341, 0.000), Ba at (0.152, 0.152, 0.500) and Br at (0.000, 0.000, 0.000).

=====

Computed, not measured: Li2Ce2MgO6 after structural relaxation at the PBE level of DFT.

Its energy relative to the elements, uncorrected is -2436 meV per atom. The energy comes out at -6.71 eV per atom.

The structure belongs to space group R-3m (No. 166, hexagonal axes); the cell edges are 5.8182, 5.8182 and 15.6683 Å and the angles 90.00°, 90.00° and 120.00°. The distinct sites, in fractional coordinates, are Li at (0.0000, 0.0000, 0.0788), Ce at (0.0000, 0.0000, 0.3139), Mg at (0.0000, 0.0000, 0.5000) and O at (0.0313, 0.5157, 0.2605).

=====

Computed, not measured: ZrSc2TlN after structural relaxation at the PBE level of DFT.

Its energy relative to the elements, uncorrected is 1388 meV per atom. The energy above the lowest structure with this stoichiometry comes out at 2.3397 eV/atom. The energy comes out at -4.99 eV per atom.

The structure belongs to space group P4/mmm (No. 123); the cell edges are 5.552, 5.552 and 4.186 Å and the angles 90.00°, 90.00° and 90.00°. The distinct sites, in fractional coordinates, are Zr at (0.000, 0.000, 0.000), Sc at (0.000, 0.500, 0.500), Tl at (0.500, 0.500, 0.500) and N at (0.500, 0.500, 0.000).

=====

Computed, not measured: Na3Mn2H7 after structural relaxation at the PBE level of DFT.

The energy comes out at -3.86 eV per atom.

The structure belongs to space group Cmmm (No. 65); the cell edges are 3.576, 19.622 and 3.519 Å and the angles 90.00°, 90.00° and 90.00°. The distinct sites, in fractional coordinates, are Na at (0.000, 0.000, 0.000), Na at (0.000, 0.178, 0.000), Mn at (0.000, 0.409, 0.500), H at (0.000, 0.090, 0.500), H at (0.000, 0.318, 0.500), H at (0.000, 0.412, 0.000) and H at (0.000, 0.500, 0.500).

=====

Computed, not measured: Ba2PrHoS4 after structural relaxation at the PBE level of DFT.

Its energy relative to the elements, uncorrected is -2004 meV per atom. The energy comes out at -5.72 eV per atom.

The structure belongs to space group P2/m (No. 10); the cell edges are 7.253, 4.185 and 7.546 Å and the angles 90.00°, 108.64° and 90.00°. The distinct sites, in fractional coordinates, are Ba at (0.000, 0.000, 0.000), Ba at (0.500, 0.500, 0.000), Pr at (0.000, 0.500, 0.500), Ho at (0.500, 0.000, 0.500), S at (0.250, 0.000, 0.717) and S at (0.272, 0.500, 0.288).

=====

Computed, not measured: K2AlSiAu6 after structural relaxation at the PBE level of DFT.

Its energy relative to the elements, uncorrected is -306 meV per atom. The energy comes out at -3.41 eV per atom.

The structure belongs to space group P-1 (No. 2); the cell edges are 6.870, 6.890 and 7.040 Å and the angles 60.83°, 60.90° and 60.16°. The distinct sites, in fractional coordinates, are K at (0.210, 0.209, 0.374), Al at (0.500, 0.500, 0.500), Si at (0.000, 0.000, 0.000), Au at (0.247, 0.247, 0.843), Au at (0.247, 0.667, 0.839) and Au at (0.334, 0.754, 0.160).

=====

Computed, not measured: ZrNiBr2 after structural relaxation at the PBE level of DFT.

Its energy relative to the elements, uncorrected is 74 meV per atom. The energy above the lowest structure with this stoichiometry comes out at 0.7771 eV/atom. The energy comes out at -4.34 eV per atom.

The structure belongs to space group Pmmm (No. 47); the cell edges are 3.360, 4.272 and 5.588 Å and the angles 90.00°, 90.00° and 90.00°. The distinct sites, in fractional coordinates, are Zr at (0.000, 0.000, 0.000), Ni at (0.500, 0.000, 0.500), Br at (0.000, 0.500, 0.500) and Br at (0.500, 0.500, 0.000).

=====

Computed, not measured: BaLiSb2Se4 after structural relaxation at the PBE level of DFT.

Its energy relative to the elements, uncorrected is -817 meV per atom. The energy comes out at -4.07 eV per atom.

The structure belongs to space group Cmcm (No. 63); the cell edges are 4.538, 13.593 and 14.301 Å and the angles 90.00°, 90.00° and 90.00°. The distinct sites, in fractional coordinates, are Ba at (0.000, 0.122, 0.250), Li at (0.000, 0.143, 0.750), Sb at (0.000, 0.373, 0.052), Se at (0.000, 0.000, 0.000), Se at (0.000, 0.264, 0.612) and Se at (0.000, 0.444, 0.250).